{"formula": "GaFeSn3", "functional": "GGA-PBE", "state": "relaxed", "lattice_angstrom": [[5.159, 0.000, 0.000], [0.000, 5.159, 0.000], [0.000, 0.000, 5.159]], "species": ["Ga", "Fe", "Sn", "Sn", "Sn"], "fractional_positions": [[0.000, 0.000, 0.000], [0.500, 0.500, 0.500], [0.000, 0.000, 0.500], [0.000, 0.500, 0.000], [0.500, 0.000, 0.000]], "dft_energy_ev_per_cell": -18.61, "magmom_total_mub_per_fu": 3.19, "e_above_lowest_polymorph_kj_per_mol_fu": 372, "formation_enthalpy_0k_ev_per_atom": 0.9773}

{"formula": "CoAs2W", "functional": "GGA-PBE", "state": "relaxed", "lattice_angstrom": [[3.910, -1.523, 0.000], [3.910, 1.523, 0.000], [-1.020, 0.000, 4.981]], "species": ["Co", "As", "As", "W"], "fractional_positions": [[0.000, 0.000, 0.000], [0.250, 0.250, 0.759], [0.750, 0.750, 0.241], [0.500, 0.500, 0.500]], "dft_energy_ev_per_cell": -28.11, "magmom_total_mub_per_fu": 0.06, "formation_enthalpy_0k_ev_per_atom": 0.3129}

{"formula": "LiMn2Co", "functional": "GGA-PBE", "state": "relaxed", "lattice_angstrom": [[-3.259, 3.259, 2.545], [3.259, -3.259, 2.545], [3.259, 3.259, -2.545]], "species": ["Li", "Li", "Mn", "Mn", "Mn", "Mn", "Co", "Co"], "fractional_positions": [[0.000, 0.000, 0.000], [0.750, 0.250, 0.500], [0.131, 0.625, 0.006], [0.375, 0.381, 0.506], [0.619, 0.125, 0.994], [0.875, 0.869, 0.494], [0.250, 0.750, 0.500], [0.500, 0.500, 0.000]], "dft_energy_ev_per_cell": -49.73, "magmom_total_mub_per_fu": 7.96, "e_above_lowest_polymorph_kj_per_mol_fu": 172, "formation_enthalpy_0k_ev_per_atom": 0.6236}

{"formula": "Pm2MnSi3Ni4", "functional": "GGA-PBE", "state": "relaxed", "lattice_angstrom": [[4.061, 0.000, 0.000], [0.000, 4.061, 0.000], [0.000, 0.000, 9.530]], "species": ["Pm", "Pm", "Mn", "Si", "Si", "Si", "Ni", "Ni", "Ni", "Ni"], "fractional_positions": [[0.000, 0.500, 0.248], [0.500, 0.000, 0.752], [0.000, 0.000, 0.500], [0.000, 0.500, 0.877], [0.500, 0.000, 0.123], [0.500, 0.500, 0.500], [0.000, 0.000, 0.000], [0.000, 0.500, 0.634], [0.500, 0.000, 0.366], [0.500, 0.500, 0.000]], "dft_energy_ev_per_cell": -64.65, "magmom_total_mub_per_fu": 3.30, "raw_formation_energy_ev_per_atom": -0.659}

{"formula": "Nd2InPd", "functional": "GGA-PBE", "state": "relaxed", "lattice_angstrom": [[1.955, 1.129, 10.187], [-1.955, 1.129, 10.187], [0.000, -2.257, 10.187]], "species": ["Nd", "Nd", "In", "Pd"], "fractional_positions": [[0.108, 0.108, 0.108], [0.892, 0.892, 0.892], [0.000, 0.000, 0.000], [0.500, 0.500, 0.500]], "dft_energy_ev_per_cell": -18.14, "magmom_total_mub_per_fu": 0.00, "e_above_lowest_polymorph_kj_per_mol_fu": 171, "formation_enthalpy_0k_ev_per_atom": -0.1674}

{"formula": "AlMoH2", "functional": "GGA-PBE", "state": "relaxed", "lattice_angstrom": [[-2.120, 2.120, 4.163], [2.120, -2.120, 4.163], [2.120, 2.120, -4.163]], "species": ["Al", "Al", "Mo", "Mo", "H", "H", "H", "H"], "fractional_positions": [[0.000, 0.000, 0.000], [0.750, 0.250, 0.500], [0.250, 0.750, 0.500], [0.500, 0.500, 0.000], [0.129, 0.625, 0.004], [0.375, 0.379, 0.504], [0.621, 0.125, 0.996], [0.875, 0.871, 0.496]], "dft_energy_ev_per_cell": -40.94, "magmom_total_mub_per_fu": 0.00, "e_above_lowest_polymorph_kj_per_mol_fu": 2}

{"formula": "Tm12Bi6Ir", "functional": "GGA-PBE", "state": "relaxed", "lattice_angstrom": [[6.580, 3.799, 4.009], [-6.580, 3.799, 4.009], [0.000, -7.598, 4.009]], "species": ["Tm", "Tm", "Tm", "Tm", "Tm", "Tm", "Tm", "Tm", "Tm", "Tm", "Tm", "Tm", "Bi", "Bi", "Bi", "Bi", "Bi", "Bi", "Ir"], "fractional_positions": [[0.003, 0.940, 0.689], [0.060, 0.311, 0.997], [0.206, 0.536, 0.408], [0.311, 0.997, 0.060], [0.408, 0.206, 0.536], [0.464, 0.592, 0.794], [0.536, 0.408, 0.206], [0.592, 0.794, 0.464], [0.689, 0.003, 0.940], [0.794, 0.464, 0.592], [0.940, 0.689, 0.003], [0.997, 0.060, 0.311], [0.115, 0.324, 0.652], [0.324, 0.652, 0.115], [0.348, 0.885, 0.676], [0.652, 0.115, 0.324], [0.676, 0.348, 0.885], [0.885, 0.676, 0.348], [0.000, 0.000, 0.000]], "dft_energy_ev_per_cell": -94.84, "magmom_total_mub_per_fu": 0.00, "formation_enthalpy_0k_ev_per_atom": -0.4754}

{"formula": "DyGa7Cu12", "functional": "GGA-PBE", "state": "relaxed", "lattice_angstrom": [[6.298, 3.636, 2.129], [-6.298, 3.636, 2.129], [0.000, -7.272, 2.129]], "species": ["Dy", "Ga", "Ga", "Ga", "Ga", "Ga", "Ga", "Ga", "Cu", "Cu", "Cu", "Cu", "Cu", "Cu", "Cu", "Cu", "Cu", "Cu", "Cu", "Cu"], "fractional_positions": [[0.000, 0.000, 0.000], [0.189, 0.189, 0.534], [0.189, 0.534, 0.189], [0.466, 0.811, 0.811], [0.500, 0.500, 0.500], [0.534, 0.189, 0.189], [0.811, 0.466, 0.811], [0.811, 0.811, 0.466], [0.000, 0.271, 0.729], [0.000, 0.729, 0.271], [0.059, 0.398, 0.398], [0.271, 0.000, 0.729], [0.271, 0.729, 0.000], [0.398, 0.059, 0.398], [0.398, 0.398, 0.059], [0.602, 0.602, 0.941], [0.602, 0.941, 0.602], [0.729, 0.000, 0.271], [0.729, 0.271, 0.000], [0.941, 0.602, 0.602]], "dft_energy_ev_per_cell": -76.21, "magmom_total_mub_per_fu": 0.00, "formation_enthalpy_0k_ev_per_atom": -0.0633}

{"formula": "BaSnP", "functional": "GGA-PBE", "state": "relaxed", "lattice_angstrom": [[4.769, 0.000, 0.000], [-2.384, 4.130, 0.000], [0.000, 0.000, 4.809]], "species": ["Ba", "Sn", "P"], "fractional_positions": [[0.000, 0.000, 0.000], [0.667, 0.333, 0.501], [0.333, 0.667, 0.499]], "dft_energy_ev_per_cell": -13.04, "magmom_total_mub_per_fu": 0.00, "formation_enthalpy_0k_ev_per_atom": -0.5691}

{"formula": "K2TlCdAu2", "functional": "GGA-PBE", "state": "relaxed", "lattice_angstrom": [[-3.427, 8.039, 3.432], [3.427, -8.039, 3.432], [3.427, 8.039, -3.432]], "species": ["K", "K", "K", "K", "Tl", "Tl", "Cd", "Cd", "Au", "Au", "Au", "Au"], "fractional_positions": [[0.177, 0.247, 0.424], [0.323, 0.747, 0.070], [0.677, 0.253, 0.930], [0.823, 0.753, 0.576], [0.250, 0.750, 0.500], [0.750, 0.250, 0.500], [0.250, 0.250, 0.000], [0.750, 0.750, 0.000], [0.105, 0.758, 0.863], [0.395, 0.258, 0.653], [0.605, 0.742, 0.347], [0.895, 0.242, 0.137]], "dft_energy_ev_per_cell": -26.83, "magmom_total_mub_per_fu": 0.00, "formation_enthalpy_0k_ev_per_atom": -0.2304}

{"formula": "Th2ScAu2", "functional": "GGA-PBE", "state": "relaxed", "lattice_angstrom": [[8.100, 0.000, 0.000], [0.000, 8.100, 0.000], [0.000, 0.000, 3.974]], "species": ["Th", "Th", "Th", "Th", "Sc", "Sc", "Au", "Au", "Au", "Au"], "fractional_positions": [[0.174, 0.326, 0.000], [0.326, 0.826, 0.000], [0.674, 0.174, 0.000], [0.826, 0.674, 0.000], [0.000, 0.000, 0.500], [0.500, 0.500, 0.500], [0.129, 0.629, 0.500], [0.371, 0.129, 0.500], [0.629, 0.871, 0.500], [0.871, 0.371, 0.500]], "dft_energy_ev_per_cell": -60.93, "magmom_total_mub_per_fu": 0.00, "formation_enthalpy_0k_ev_per_atom": -0.5480}

{"formula": "KBe2Br2", "functional": "GGA-PBE", "state": "relaxed", "lattice_angstrom": [[-1.749, 1.749, 9.096], [1.749, -1.749, 9.096], [1.749, 1.749, -9.096]], "species": ["K", "Be", "Be", "Br", "Br"], "fractional_positions": [[0.000, 0.000, 0.000], [0.250, 0.750, 0.500], [0.750, 0.250, 0.500], [0.383, 0.383, 0.000], [0.617, 0.617, 0.000]], "dft_energy_ev_per_cell": -12.18, "magmom_total_mub_per_fu": 0.00, "e_above_lowest_polymorph_kj_per_mol_fu": 38, "raw_formation_energy_ev_per_atom": -0.058}

{"formula": "SrLiAlGa2", "functional": "GGA-PBE", "state": "relaxed", "lattice_angstrom": [[-2.201, 2.201, 5.594], [2.201, -2.201, 5.594], [2.201, 2.201, -5.594]], "species": ["Sr", "Li", "Al", "Ga", "Ga"], "fractional_positions": [[0.000, 0.000, 0.000], [0.250, 0.750, 0.500], [0.750, 0.250, 0.500], [0.385, 0.385, 0.000], [0.615, 0.615, 0.000]], "dft_energy_ev_per_cell": -15.27, "magmom_total_mub_per_fu": 0.00, "formation_enthalpy_0k_ev_per_atom": -0.3753}

{"formula": "RbTaN2", "functional": "GGA-PBE", "state": "relaxed", "lattice_angstrom": [[1.737, 1.003, 7.806], [-1.737, 1.003, 7.806], [0.000, -2.005, 7.806]], "species": ["Rb", "Ta", "N", "N"], "fractional_positions": [[0.000, 0.000, 0.000], [0.500, 0.500, 0.500], [0.420, 0.420, 0.420], [0.580, 0.580, 0.580]], "dft_energy_ev_per_cell": -25.44, "magmom_total_mub_per_fu": 1.86, "raw_formation_energy_ev_per_atom": 1.007}

{"formula": "Ce6Tc2OsBr3", "functional": "GGA-PBE", "state": "relaxed", "lattice_angstrom": [[3.492, -6.049, 0.000], [3.492, 6.049, 0.000], [-2.327, 0.000, 7.678]], "species": ["Ce", "Ce", "Ce", "Ce", "Ce", "Ce", "Tc", "Tc", "Os", "Br", "Br", "Br"], "fractional_positions": [[0.100, 0.435, 0.804], [0.231, 0.231, 0.196], [0.435, 0.100, 0.804], [0.565, 0.900, 0.196], [0.769, 0.769, 0.804], [0.900, 0.565, 0.196], [0.167, 0.833, 0.000], [0.833, 0.167, 0.000], [0.500, 0.500, 0.000], [0.000, 0.000, 0.500], [0.333, 0.667, 0.500], [0.667, 0.333, 0.500]], "dft_energy_ev_per_cell": -80.34, "magmom_total_mub_per_fu": 2.19, "raw_formation_energy_ev_per_atom": -0.646}

{"formula": "Ba2Cd2Bi", "functional": "GGA-PBE", "state": "relaxed", "lattice_angstrom": [[8.541, 0.000, 0.000], [0.000, 8.541, 0.000], [0.000, 0.000, 5.098]], "species": ["Ba", "Ba", "Ba", "Ba", "Cd", "Cd", "Cd", "Cd", "Bi", "Bi"], "fractional_positions": [[0.184, 0.316, 0.000], [0.316, 0.816, 0.000], [0.684, 0.184, 0.000], [0.816, 0.684, 0.000], [0.119, 0.619, 0.500], [0.381, 0.119, 0.500], [0.619, 0.881, 0.500], [0.881, 0.381, 0.500], [0.000, 0.000, 0.500], [0.500, 0.500, 0.500]], "dft_energy_ev_per_cell": -23.60, "magmom_total_mub_per_fu": 0.00, "e_above_lowest_polymorph_kj_per_mol_fu": 0, "formation_enthalpy_0k_ev_per_atom": -0.4487}

{"formula": "VIn3S4", "functional": "GGA-PBE", "state": "relaxed", "lattice_angstrom": [[-3.737, 3.737, 3.737], [3.737, -3.737, 3.737], [3.737, 3.737, -3.737]], "species": ["V", "In", "In", "In", "S", "S", "S", "S"], "fractional_positions": [[0.000, 0.000, 0.000], [0.000, 0.500, 0.500], [0.500, 0.000, 0.500], [0.500, 0.500, 0.000], [0.000, 0.000, 0.665], [0.000, 0.665, 0.000], [0.335, 0.335, 0.335], [0.665, 0.000, 0.000]], "dft_energy_ev_per_cell": -37.97, "magmom_total_mub_per_fu": 0.00, "raw_formation_energy_ev_per_atom": -0.516}

{"formula": "ScTcCl2", "functional": "GGA-PBE", "state": "relaxed", "lattice_angstrom": [[3.096, 0.000, 0.000], [0.000, 3.096, 0.000], [0.000, 0.000, 10.332]], "species": ["Sc", "Tc", "Cl", "Cl"], "fractional_positions": [[0.000, 0.000, 0.000], [0.000, 0.000, 0.500], [0.500, 0.500, 0.149], [0.500, 0.500, 0.851]], "dft_energy_ev_per_cell": -21.10, "magmom_total_mub_per_fu": 3.91, "e_above_lowest_polymorph_kj_per_mol_fu": 204, "raw_formation_energy_ev_per_atom": -0.176}

{"formula": "SiRuCl2", "functional": "GGA-PBE", "state": "relaxed", "lattice_angstrom": [[1.583, 0.914, 8.580], [-1.583, 0.914, 8.580], [0.000, -1.828, 8.580]], "species": ["Si", "Ru", "Cl", "Cl"], "fractional_positions": [[0.000, 0.000, 0.000], [0.500, 0.500, 0.500], [0.234, 0.234, 0.234], [0.766, 0.766, 0.766]], "dft_energy_ev_per_cell": -16.41, "magmom_total_mub_per_fu": 1.97, "e_above_lowest_polymorph_kj_per_mol_fu": 307, "raw_formation_energy_ev_per_atom": 0.495}